Compound: ScHgIN2
Source: Alexandria via LeMat-Bulk
Functional: PBE
Structure: optimized geometry

```
ScHgIN2
1.0
-1.1254 -3.7774 -1.4296
1.9688 0.7827 -3.6180
5.3415 -2.4879 2.3685
I Sc Hg N
1 1 1 2
direct
0.0000 0.0000 0.5000
0.0000 0.0000 0.0000
0.5000 0.5000 0.5000
0.0000 0.5000 0.0000
0.5000 0.0000 0.0000
```

Summary:
Spin magnetization: 0.00 μB per cell
Uncorrected energy: -21.7 eV for the cell shown
Calculated volume: 22.33 Å³/atom
SG: P4/mmm
Offset from the most stable computed form: 0 meV/atom